No. 1
Here is a relaxed structure of RePbAuCl2 from Alexandria via LeMat-Bulk. Energies are from GGA-PBE.

a = 4.957 Å, b = 4.957 Å, c = 5.461 Å
α = 90.00°, β = 90.00°, γ = 90.00°
Fractional positions:
1 Re 0.000 0.000 0.000
2 Pb 0.500 0.500 0.000
3 Au 0.000 0.000 0.500
4 Cl 0.000 0.500 0.500
5 Cl 0.500 0.000 0.500

Values from the calculation:
V	26.837	A^3/atom
raw total energy	-3.68	eV/atom
formation energy from raw total energies	947	meV/atom
density of states at the Fermi level	2.1	states/eV/f.u.

=====

No. 2
Here is a relaxed structure of Ti2AlFe from Alexandria via LeMat-Bulk. Energies are from GGA-PBE.

a = 6.963 Å, b = 6.963 Å, c = 5.157 Å
α = 90.00°, β = 90.00°, γ = 90.00°
Fractional positions:
1 Ti 0.197 0.250 0.125
2 Ti 0.250 0.697 0.375
3 Ti 0.250 0.803 0.875
4 Ti 0.303 0.250 0.625
5 Ti 0.697 0.750 0.625
6 Ti 0.750 0.197 0.875
7 Ti 0.750 0.303 0.375
8 Ti 0.803 0.750 0.125
9 Al 0.000 0.000 0.500
10 Al 0.000 0.500 0.750
11 Al 0.500 0.000 0.250
12 Al 0.500 0.500 0.000
13 Fe 0.000 0.000 0.000
14 Fe 0.000 0.500 0.250
15 Fe 0.500 0.000 0.750
16 Fe 0.500 0.500 0.500

Values from the calculation:
ΔH_f (0 K)	6	kJ/mol of atoms
V	15.626	A^3/atom
raw total energy	-6.93	eV/atom
density of states at the Fermi level	3.1	states/eV/f.u.

=====

No. 3
Here is a relaxed structure of KAgRu2 from Alexandria via LeMat-Bulk. Energies are from GGA-PBE.

a = 5.392 Å, b = 5.392 Å, c = 2.593 Å
α = 90.00°, β = 90.00°, γ = 90.00°
Fractional positions:
1 K 0.000 0.000 0.000
2 Ag 0.500 0.500 0.000
3 Ru 0.000 0.500 0.500
4 Ru 0.500 0.000 0.500

Values from the calculation:
ΔH_f (0 K)	135	kJ/mol of atoms
V	18.847	A^3/atom
raw total energy	-4.23	eV/atom
density of states at the Fermi level	4.8	states/eV/f.u.
energy relative to the lowest polymorph listed for this composition	0.8565	eV per atom

=====

No. 4
Here is a relaxed structure of PrSbIr from Alexandria via LeMat-Bulk. Energies are from GGA-PBE.

a = 6.483 Å, b = 6.483 Å, c = 9.144 Å
α = 117.63°, β = 117.63°, γ = 71.87°
Fractional positions:
1 Pr 0.124 0.876 0.500
2 Pr 0.323 0.574 0.897
3 Pr 0.574 0.323 0.397
4 Pr 0.876 0.124 0.000
5 Sb 0.104 0.355 0.458
6 Sb 0.355 0.104 0.958
7 Sb 0.545 0.796 0.342
8 Sb 0.796 0.545 0.842
9 Ir 0.166 0.548 0.141
10 Ir 0.548 0.166 0.641
11 Ir 0.724 0.843 0.141
12 Ir 0.843 0.724 0.641

Values from the calculation:
V	24.951	A^3/atom
raw total energy	-6.62	eV/atom
formation energy from raw total energies	-704	meV/atom
density of states at the Fermi level	0.7	states/eV/f.u.

=====

No. 5
Here is a relaxed structure of CeDyTcNi from Alexandria via LeMat-Bulk. Energies are from GGA-PBE.

a = 6.836 Å, b = 6.836 Å, c = 6.836 Å
α = 90.00°, β = 90.00°, γ = 90.00°
Fractional positions:
1 Ce 0.000 0.000 0.000
2 Ce 0.000 0.500 0.500
3 Ce 0.500 0.000 0.500
4 Ce 0.500 0.500 0.000
5 Dy 0.000 0.000 0.500
6 Dy 0.000 0.500 0.000
7 Dy 0.500 0.000 0.000
8 Dy 0.500 0.500 0.500
9 Tc 0.250 0.250 0.750
10 Tc 0.250 0.750 0.250
11 Tc 0.750 0.250 0.250
12 Tc 0.750 0.750 0.750
13 Ni 0.250 0.250 0.250
14 Ni 0.250 0.750 0.750
15 Ni 0.750 0.250 0.750
16 Ni 0.750 0.750 0.250

Values from the calculation:
ΔH_f (0 K)	-15	kJ/mol of atoms
V	19.963	A^3/atom
raw total energy	-6.82	eV/atom
density of states at the Fermi level	3.6	states/eV/f.u.

=====

No. 6
Here is a relaxed structure of Hf2NbZn from Alexandria via LeMat-Bulk. Energies are from GGA-PBE.

a = 3.451 Å, b = 3.451 Å, c = 6.457 Å
α = 90.00°, β = 90.00°, γ = 90.00°
Fractional positions:
1 Hf 0.000 0.000 0.248
2 Hf 0.000 0.000 0.752
3 Nb 0.500 0.500 0.000
4 Zn 0.500 0.500 0.500

Values from the calculation:
ΔH_f (0 K)	-9	kJ/mol of atoms
V	19.224	A^3/atom
raw total energy	-7.90	eV/atom
density of states at the Fermi level	4.6	states/eV/f.u.

=====

No. 7
Here is a relaxed structure of In12Sn5Pb2 from Alexandria via LeMat-Bulk. Energies are from GGA-PBE.

a = 12.117 Å, b = 12.117 Å, c = 5.020 Å
α = 100.93°, β = 100.93°, γ = 49.11°
Fractional positions:
1 In 0.046 0.552 0.798
2 In 0.099 0.099 0.102
3 In 0.153 0.644 0.400
4 In 0.356 0.847 0.600
5 In 0.400 0.400 0.891
6 In 0.448 0.954 0.202
7 In 0.552 0.046 0.798
8 In 0.600 0.600 0.109
9 In 0.644 0.153 0.400
10 In 0.847 0.356 0.600
11 In 0.901 0.901 0.898
12 In 0.954 0.448 0.202
13 Sn 0.000 0.000 0.500
14 Sn 0.197 0.197 0.700
15 Sn 0.300 0.300 0.296
16 Sn 0.700 0.700 0.704
17 Sn 0.803 0.803 0.300
18 Pb 0.258 0.742 0.000
19 Pb 0.742 0.258 0.000

Values from the calculation:
ΔH_f (0 K)	4	kJ/mol of atoms
V	28.685	A^3/atom
raw total energy	-3.13	eV/atom
density of states at the Fermi level	8.4	states/eV/f.u.
energy relative to the lowest polymorph listed for this composition	0.0000	eV per atom

=====

No. 8
Here is a relaxed structure of CrSi3Rh from Alexandria via LeMat-Bulk. Energies are from GGA-PBE.

a = 4.355 Å, b = 4.355 Å, c = 4.355 Å
α = 90.00°, β = 90.00°, γ = 90.00°
Fractional positions:
1 Cr 0.000 0.000 0.000
2 Si 0.000 0.000 0.500
3 Si 0.000 0.500 0.000
4 Si 0.500 0.000 0.000
5 Rh 0.500 0.500 0.500

Values from the calculation:
V	16.524	A^3/atom
raw total energy	-6.06	eV/atom
formation energy from raw total energies	585	meV/atom
density of states at the Fermi level	9.7	states/eV/f.u.
energy relative to the lowest polymorph listed for this composition	0.0000	eV per atom

=====

No. 9
Here is a relaxed structure of RbTmHgBr6 from Alexandria via LeMat-Bulk. Energies are from GGA-PBE.

a = 7.335 Å, b = 7.335 Å, c = 7.642 Å
α = 90.00°, β = 90.00°, γ = 120.00°
Fractional positions:
1 Rb 0.000 0.000 0.000
2 Tm 0.333 0.667 0.500
3 Hg 0.667 0.333 0.500
4 Br 0.009 0.381 0.714
5 Br 0.009 0.628 0.286
6 Br 0.372 0.381 0.286
7 Br 0.372 0.991 0.714
8 Br 0.619 0.628 0.714
9 Br 0.619 0.991 0.286

Values from the calculation:
V	39.564	A^3/atom
raw total energy	-3.12	eV/atom
formation energy from raw total energies	-1367	meV/atom
density of states at the Fermi level	0.0	states/eV/f.u.

=====

No. 10
Here is a relaxed structure of Sc3Cd2Ag5 from Alexandria via LeMat-Bulk. Energies are from GGA-PBE.

a = 8.589 Å, b = 8.589 Å, c = 5.626 Å
α = 90.94°, β = 90.94°, γ = 106.19°
Fractional positions:
1 Sc 0.052 0.948 0.750
2 Sc 0.211 0.501 0.393
3 Sc 0.499 0.789 0.107
4 Sc 0.501 0.211 0.893
5 Sc 0.789 0.499 0.607
6 Sc 0.948 0.052 0.250
7 Cd 0.132 0.623 0.885
8 Cd 0.377 0.868 0.615
9 Cd 0.623 0.132 0.385
10 Cd 0.868 0.377 0.115
11 Ag 0.032 0.732 0.368
12 Ag 0.207 0.295 0.978
13 Ag 0.268 0.968 0.132
14 Ag 0.295 0.207 0.478
15 Ag 0.466 0.534 0.750
16 Ag 0.534 0.466 0.250
17 Ag 0.705 0.793 0.522
18 Ag 0.732 0.032 0.868
19 Ag 0.793 0.705 0.022
20 Ag 0.968 0.268 0.632

Values from the calculation:
ΔH_f (0 K)	-14	kJ/mol of atoms
V	19.922	A^3/atom
raw total energy	-3.65	eV/atom
density of states at the Fermi level	4.7	states/eV/f.u.

=====

No. 11
Here is a relaxed structure of CoSbTe2Br from Alexandria via LeMat-Bulk. Energies are from GGA-PBE.

a = 5.596 Å, b = 5.596 Å, c = 5.487 Å
α = 90.00°, β = 90.00°, γ = 90.00°
Fractional positions:
1 Co 0.000 0.000 0.000
2 Sb 0.500 0.500 0.000
3 Te 0.000 0.500 0.500
4 Te 0.500 0.000 0.500
5 Br 0.500 0.500 0.500

Values from the calculation:
V	34.372	A^3/atom
raw total energy	-2.40	eV/atom
formation energy from raw total energies	1441	meV/atom
density of states at the Fermi level	9.6	states/eV/f.u.
energy relative to the lowest polymorph listed for this composition	1.1408	eV per atom

=====

No. 12
Here is a relaxed structure of LaTa2Os from Alexandria via LeMat-Bulk. Energies are from GGA-PBE.

a = 4.800 Å, b = 4.800 Å, c = 6.806 Å
α = 90.00°, β = 90.00°, γ = 90.00°
Fractional positions:
1 La 0.000 0.000 0.000
2 La 0.500 0.500 0.500
3 Ta 0.000 0.000 0.500
4 Ta 0.000 0.500 0.250
5 Ta 0.500 0.000 0.750
6 Ta 0.500 0.500 0.000
7 Os 0.000 0.500 0.750
8 Os 0.500 0.000 0.250

Values from the calculation:
ΔH_f (0 K)	36	kJ/mol of atoms
V	19.601	A^3/atom
raw total energy	-9.59	eV/atom
density of states at the Fermi level	3.3	states/eV/f.u.
energy relative to the lowest polymorph listed for this composition	0.2827	eV per atom

=====

No. 13
Here is a relaxed structure of SbAuCl2 from Alexandria via LeMat-Bulk. Energies are from GGA-PBE.

a = 6.112 Å, b = 6.907 Å, c = 8.813 Å
α = 90.00°, β = 90.00°, γ = 90.00°
Fractional positions:
1 Sb 0.000 0.000 0.000
2 Sb 0.000 0.500 0.500
3 Sb 0.500 0.000 0.500
4 Sb 0.500 0.500 0.000
5 Au 0.000 0.000 0.500
6 Au 0.000 0.500 0.000
7 Au 0.500 0.000 0.000
8 Au 0.500 0.500 0.500
9 Cl 0.000 0.250 0.250
10 Cl 0.000 0.250 0.750
11 Cl 0.000 0.750 0.250
12 Cl 0.000 0.750 0.750
13 Cl 0.500 0.250 0.250
14 Cl 0.500 0.250 0.750
15 Cl 0.500 0.750 0.250
16 Cl 0.500 0.750 0.750

Values from the calculation:
V	23.253	A^3/atom
raw total energy	-2.80	eV/atom
formation energy from raw total energies	-24	meV/atom
density of states at the Fermi level	1.7	states/eV/f.u.
energy relative to the lowest polymorph listed for this composition	0.4220	eV per atom

=====

No. 14
Here is a relaxed structure of TaAs from Alexandria via LeMat-Bulk. Energies are from GGA-PBE.

a = 9.240 Å, b = 9.240 Å, c = 3.778 Å
α = 90.00°, β = 90.00°, γ = 120.00°
Fractional positions:
1 Ta 0.139 0.646 0.250
2 Ta 0.354 0.493 0.250
3 Ta 0.493 0.139 0.750
4 Ta 0.507 0.861 0.250
5 Ta 0.646 0.507 0.750
6 Ta 0.861 0.354 0.750
7 As 0.030 0.322 0.250
8 As 0.292 0.970 0.250
9 As 0.322 0.292 0.750
10 As 0.678 0.708 0.250
11 As 0.708 0.030 0.750
12 As 0.970 0.678 0.750

Values from the calculation:
ΔH_f (0 K)	1	kJ/mol of atoms
V	23.279	A^3/atom
raw total energy	-8.24	eV/atom
density of states at the Fermi level	1.4	states/eV/f.u.

=====

No. 15
Here is a relaxed structure of Rb2Cd2InCl7 from Alexandria via LeMat-Bulk. Energies are from GGA-PBE.

a = 13.835 Å, b = 13.835 Å, c = 13.835 Å
α = 158.02°, β = 158.02°, γ = 31.29°
Fractional positions:
1 Rb 0.180 0.180 0.000
2 Rb 0.820 0.820 0.000
3 Cd 0.400 0.400 0.000
4 Cd 0.600 0.600 0.000
5 In 0.000 0.000 0.000
6 Cl 0.094 0.594 0.500
7 Cl 0.303 0.303 0.000
8 Cl 0.406 0.906 0.500
9 Cl 0.500 0.500 0.000
10 Cl 0.594 0.094 0.500
11 Cl 0.697 0.697 0.000
12 Cl 0.906 0.406 0.500

Values from the calculation:
V	30.901	A^3/atom
raw total energy	-2.94	eV/atom
formation energy from raw total energies	-1322	meV/atom
density of states at the Fermi level	0.0	states/eV/f.u.

=====

No. 16
Here is a relaxed structure of NpTiTc2 from Alexandria via LeMat-Bulk. Energies are from GGA-PBE.

a = 4.578 Å, b = 4.578 Å, c = 3.205 Å
α = 90.00°, β = 90.00°, γ = 90.00°
Fractional positions:
1 Np 0.000 0.000 0.000
2 Ti 0.500 0.500 0.000
3 Tc 0.000 0.500 0.500
4 Tc 0.500 0.000 0.500

Values from the calculation:
ΔH_f (0 K)	-16	kJ/mol of atoms
V	16.789	A^3/atom
raw total energy	-10.55	eV/atom
density of states at the Fermi level	4.6	states/eV/f.u.
energy relative to the lowest polymorph listed for this composition	0.0000	eV per atom

=====

No. 17
Here is a relaxed structure of NbOF3 from Alexandria via LeMat-Bulk. Energies are from GGA-PBE.

a = 4.034 Å, b = 4.034 Å, c = 4.034 Å
α = 90.00°, β = 90.00°, γ = 90.00°
Fractional positions:
1 Nb 0.000 0.000 0.000
2 O 0.500 0.500 0.500
3 F 0.000 0.000 0.500
4 F 0.000 0.500 0.000
5 F 0.500 0.000 0.000

Values from the calculation:
V	13.132	A^3/atom
raw total energy	-5.66	eV/atom
formation energy from raw total energies	-1529	meV/atom
density of states at the Fermi level	13.3	states/eV/f.u.

=====

No. 18
Here is a relaxed structure of GeBSe3 from Alexandria via LeMat-Bulk. Energies are from GGA-PBE.

a = 4.997 Å, b = 4.997 Å, c = 4.997 Å
α = 90.00°, β = 90.00°, γ = 90.00°
Fractional positions:
1 Ge 0.000 0.000 0.000
2 B 0.500 0.500 0.500
3 Se 0.000 0.000 0.500
4 Se 0.000 0.500 0.000
5 Se 0.500 0.000 0.000

Values from the calculation:
V	24.961	A^3/atom
raw total energy	-3.10	eV/atom
formation energy from raw total energies	1249	meV/atom
density of states at the Fermi level	3.8	states/eV/f.u.
energy relative to the lowest polymorph listed for this composition	1.3237	eV per atom

=====

No. 19
Here is a relaxed structure of Rb2AlCuO4 from Alexandria via LeMat-Bulk. Energies are from GGA-PBE.

a = 11.901 Å, b = 10.427 Å, c = 6.832 Å
α = 84.45°, β = 60.70°, γ = 34.85°
Fractional positions:
1 Rb 0.055 0.055 0.695
2 Rb 0.305 0.305 0.945
3 Rb 0.695 0.695 0.055
4 Rb 0.945 0.945 0.305
5 Al 0.125 0.125 0.125
6 Al 0.875 0.875 0.875
7 Cu 0.375 0.375 0.375
8 Cu 0.625 0.625 0.625
9 O 0.007 0.298 0.427
10 O 0.231 0.573 0.702
11 O 0.298 0.007 0.769
12 O 0.427 0.769 0.007
13 O 0.573 0.231 0.993
14 O 0.702 0.993 0.231
15 O 0.769 0.427 0.298
16 O 0.993 0.702 0.573

Values from the calculation:
V	20.880	A^3/atom
raw total energy	-5.24	eV/atom
formation energy from raw total energies	-1540	meV/atom

=====

No. 20
Here is a relaxed structure of CePr5Ru4 from Alexandria via LeMat-Bulk. Energies are from GGA-PBE.

a = 8.807 Å, b = 8.807 Å, c = 7.247 Å
α = 106.16°, β = 106.16°, γ = 29.42°
Fractional positions:
1 Ce 0.000 0.000 0.000
2 Pr 0.000 0.000 0.500
3 Pr 0.329 0.329 0.454
4 Pr 0.333 0.333 0.958
5 Pr 0.667 0.667 0.042
6 Pr 0.671 0.671 0.546
7 Ru 0.146 0.146 0.278
8 Ru 0.490 0.490 0.784
9 Ru 0.510 0.510 0.216
10 Ru 0.854 0.854 0.722

Values from the calculation:
ΔH_f (0 K)	-16	kJ/mol of atoms
V	26.447	A^3/atom
raw total energy	-6.86	eV/atom
density of states at the Fermi level	7.3	states/eV/f.u.